# 1
Entry from the Alexandria database: crystalline Ac2Al12Pt7 at its relaxed geometry (PBE).

Structure (POSCAR):
```
Ac2Al12Pt7
1.0
4.2474 0.0000 0.0000
0.0000 8.7546 -5.0545
0.0000 0.0000 10.1089
Al Pt Ac
12 7 2
Direct
0.5000 0.5468 0.7540
0.0000 0.4649 0.9529
0.0000 0.9197 0.2001
0.0000 0.4879 0.5351
0.5000 0.9259 0.6149
0.5000 0.2072 0.4532
0.5000 0.2460 0.7928
0.0000 0.0471 0.5120
0.0000 0.7999 0.7195
0.0000 0.2805 0.0803
0.5000 0.6890 0.0741
0.5000 0.3851 0.3110
0.5000 0.6533 0.5725
0.5000 0.9192 0.3467
0.5000 0.4275 0.0808
0.0000 0.6985 0.9193
0.0000 0.2207 0.3015
0.0000 0.3333 0.6667
0.0000 0.0807 0.7793
0.0000 0.6667 0.3333
0.5000 0.0000 0.0000
```

Output
The calculation puts the total energy at -5.529 eV/atom. The value obtained for the calculated volume is 375.89 Å³/f.u.



# 2
Entry from the Alexandria database: crystalline MnCrCo2 at its relaxed geometry (PBE).

Structure (POSCAR):
```
MnCrCo2
1.0
3.9505 0.0000 0.0000
0.0000 4.3042 0.0000
0.0000 0.0000 10.0588
Co Cr Mn
8 4 4
Direct
0.2500 0.9133 0.3082
0.2500 0.4116 0.6877
0.7500 0.0867 0.6918
0.7500 0.0884 0.1877
0.7500 0.5884 0.3123
0.2500 0.9116 0.8123
0.7500 0.5867 0.8082
0.2500 0.4133 0.1918
0.7500 0.5805 0.0654
0.2500 0.4195 0.9346
0.7500 0.0805 0.4346
0.2500 0.9195 0.5654
0.7500 0.0756 0.9357
0.2500 0.4244 0.4357
0.2500 0.9244 0.0643
0.7500 0.5756 0.5643
```

Output
The calculation puts the total energy at -8.178 eV/atom. The value obtained for the calculated volume is 42.76 Å³/f.u.



# 3
Entry from the Alexandria database: crystalline NaSbN2F at its relaxed geometry (PBE).

Structure (POSCAR):
```
NaSbN2F
1.0
4.3310 0.0000 0.0000
0.0000 4.3310 0.0000
0.0000 0.0000 3.8745
Na F N Sb
1 1 2 1
Direct
0.0000 0.0000 0.0000
0.0000 0.0000 0.5000
0.0000 0.5000 0.0000
0.5000 0.0000 0.0000
0.5000 0.5000 0.5000
```

Output
As for the formation energy (no corrections): 4.9 eV/f.u. The value obtained for the calculated volume is 72.68 Å³/f.u.



# 4
Entry from the Alexandria database: crystalline V4Cu2N at its relaxed geometry (PBE).

Structure (POSCAR):
```
V4Cu2N
1.0
3.8130 0.0000 0.0000
0.0000 3.8130 0.0000
1.9065 1.9065 6.2540
N V Cu
1 4 2
Direct
0.0000 0.0000 0.0000
0.5000 0.0000 0.0000
0.0000 0.5000 0.0000
0.1633 0.1633 0.6734
0.8367 0.8367 0.3266
0.3601 0.3601 0.2799
0.6399 0.6399 0.7201
```

Output
As for the formation energy (no corrections): -0.3 eV/f.u. The value obtained for the calculated volume is 90.93 Å³/f.u.



# 5
Entry from the Alexandria database: crystalline Rb4GaBi4 at its relaxed geometry (PBE).

Structure (POSCAR):
```
Rb4GaBi4
1.0
7.6514 0.0000 0.0000
-3.8257 7.6969 3.8257
0.0000 0.0000 7.6514
Rb Bi Ga
4 4 1
Direct
0.4284 0.2698 0.5716
0.5716 0.7302 0.8414
0.8414 0.2698 0.1586
0.1586 0.7302 0.4284
0.3105 0.2230 0.0875
0.6895 0.7770 0.3105
0.0875 0.7770 0.9125
0.9125 0.2230 0.6895
0.0000 0.0000 0.0000
```

Output
The calculation puts the total energy at -2.526 eV/atom. The value obtained for the calculated volume is 450.61 Å³/f.u.



# 6
Entry from the Alexandria database: crystalline Cs3AcCu2Cl9 at its relaxed geometry (PBE).

Structure (POSCAR):
```
Cs3AcCu2Cl9
1.0
7.4458 0.0000 0.0000
-3.7229 6.4482 0.0000
0.0000 0.0000 9.3235
Cu Cs Cl Ac
2 3 9 1
Direct
0.3333 0.6667 0.1316
0.6667 0.3333 0.8684
0.0000 0.0000 0.0000
0.3333 0.6667 0.6910
0.6667 0.3333 0.3090
0.8230 0.6460 0.6832
0.5000 0.5000 0.0000
0.1770 0.3540 0.3168
0.1770 0.8230 0.3168
0.5000 0.0000 0.0000
0.6460 0.8230 0.3168
0.3540 0.1770 0.6832
0.8230 0.1770 0.6832
0.0000 0.5000 0.0000
0.0000 0.0000 0.5000
```

Output
As for the formation energy (no corrections): -23.8 eV/f.u. The value obtained for the calculated volume is 447.64 Å³/f.u.



# 7
Entry from the Alexandria database: crystalline Sr2Si2Sn at its relaxed geometry (PBE).

Structure (POSCAR):
```
Sr2Si2Sn
1.0
3.6950 0.0000 0.0000
0.0000 3.6950 0.0000
1.8475 1.8475 9.9907
Si Sr Sn
2 2 1
Direct
0.2500 0.7500 0.5000
0.7500 0.2500 0.5000
0.6138 0.6138 0.7724
0.3862 0.3862 0.2276
0.0000 0.0000 0.0000
```

Output
As for the formation energy (no corrections): -1.3 eV/f.u. The value obtained for the calculated volume is 136.40 Å³/f.u.



# 8
Entry from the Alexandria database: crystalline Re2SnGe2 at its relaxed geometry (PBE).

Structure (POSCAR):
```
Re2SnGe2
1.0
3.6065 0.0000 0.0000
0.0000 3.6065 0.0000
1.8033 1.8033 6.5769
Re Ge Sn
2 2 1
Direct
0.6102 0.6102 0.7797
0.3898 0.3898 0.2203
0.2500 0.7500 0.5000
0.7500 0.2500 0.5000
0.0000 0.0000 0.0000
```

Output
The calculation puts the total energy at -7.286 eV/atom. The value obtained for the calculated volume is 85.55 Å³/f.u.



# 9
Entry from the Alexandria database: crystalline PmPd6Au8 at its relaxed geometry (PBE).

Structure (POSCAR):
```
PmPd6Au8
1.0
-4.8273 -1.3889 -2.3384
2.9351 -6.9367 -1.9391
-3.5820 0.9326 6.8405
Au Pd Pm
8 6 1
Direct
0.3405 0.6667 0.3333
0.8704 0.3043 0.9767
0.8704 0.0233 0.3276
0.8704 0.6724 0.6957
0.6595 0.3333 0.6667
0.1296 0.9767 0.6724
0.1296 0.3276 0.3043
0.1296 0.6957 0.0233
0.6369 0.6703 0.0458
0.6369 0.3755 0.3297
0.3631 0.3297 0.9542
0.3631 0.0458 0.3755
0.3631 0.6245 0.6703
0.6369 0.9542 0.6245
0.5000 0.0000 0.0000
```

Output
The calculation puts the total energy at -4.290 eV/atom. The value obtained for the calculated volume is 290.27 Å³/f.u.



# 10
Entry from the Alexandria database: crystalline Ta2TcW at its relaxed geometry (PBE).

Structure (POSCAR):
```
Ta2TcW
1.0
4.5193 0.0000 0.0000
0.0000 2.8419 -0.0025
0.0000 0.9956 5.1850
W Ta Tc
1 2 1
Direct
0.5000 0.7457 0.7506
0.0000 0.9925 0.9962
0.5000 0.2613 0.2545
0.0000 0.5005 0.4988
```

Output
The calculation puts the total energy at -11.919 eV/atom. The value obtained for the calculated volume is 66.60 Å³/f.u.



# 11
Entry from the Alexandria database: crystalline TcIr3O at its relaxed geometry (PBE).

Structure (POSCAR):
```
TcIr3O
1.0
4.6983 0.0000 0.0000
0.0000 4.6983 0.0000
0.0000 0.0000 4.6983
O Ir Tc
1 3 1
Direct
0.5000 0.5000 0.5000
0.5000 0.0000 0.0000
0.0000 0.0000 0.5000
0.0000 0.5000 0.0000
0.0000 0.0000 0.0000
```

Output
As for the formation energy (no corrections): 11.4 eV/f.u. The value obtained for the calculated volume is 103.71 Å³/f.u.



# 12
Entry from the Alexandria database: crystalline Y2InAg3 at its relaxed geometry (PBE).

Structure (POSCAR):
```
Y2InAg3
1.0
3.6437 0.0000 -0.9699
-0.3124 4.1298 -1.1737
0.5750 0.4970 9.4898
Y Ag In
2 3 1
Direct
0.8674 0.3674 0.7348
0.1261 0.1261 0.2522
0.3033 0.8033 0.6066
0.6974 0.6974 0.3949
0.5475 0.5475 0.0950
0.4582 0.9582 0.9165
```

Output
The calculation puts the total energy at -4.253 eV/atom. The value obtained for the calculated volume is 147.38 Å³/f.u.



> What is the calculated volume in the fifth record?

450.61 Å³/f.u.



> The lowest calculated volume belongs to which entry?

MnCrCo2



> Which of these has the highest calculated volume?

Rb4GaBi4



> Look up the calculated volume of the eighth one.

85.55 Å³/f.u.